# 1
DFT (PBE) results for crystalline TiCd2Pd6 at its relaxed geometry.

**Crystal system**: orthorhombic
**Space-group type**: No. 65
**Volume**: 16.87 Å³ per atom

a b c (Å): 2.8712 7.6036 7.9269
angles (deg): 118.66 90.00 90.00
Closest atoms and distances in Å follow each position.
Fractional positions:
Ti: 0.0000 0.0000 0.0000  8 Pd 2.57-2.75, 2 Ti 2.87
Cd: 0.5001 0.6842 0.3683  10 Pd 2.86-2.97, 2 Cd 2.87
Cd: 0.4999 0.3158 0.6317  10 Pd 2.86-2.97, 2 Cd 2.87
Pd: 0.0001 0.3358 0.3138  1 Ti 2.57, 6 Pd 2.72-2.87, 2 Cd 2.86
Pd: 0.9999 0.0220 0.6862  1 Ti 2.57, 6 Pd 2.72-2.87, 2 Cd 2.86
Pd: 0.9999 0.6642 0.6862  1 Ti 2.57, 6 Pd 2.72-2.87, 2 Cd 2.86
Pd: 0.5000 0.3080 0.0000  2 Ti 2.75, 7 Pd 2.79-2.92, 2 Cd 2.95
Pd: 0.0001 0.9780 0.3138  1 Ti 2.57, 6 Pd 2.72-2.87, 2 Cd 2.86
Pd: 0.5000 0.6920 0.0000  2 Ti 2.75, 7 Pd 2.79-2.92, 2 Cd 2.95

# 2
DFT (PBE) results for crystalline Ti3CdPd5 at its relaxed geometry.

**Crystal system**: hexagonal
**Space-group type**: No. 193
**Volume**: 16.11 Å³ per atom

a b c (Å): 5.5267 7.7827 7.7826
angles (deg): 120.00 90.00 90.00
Closest atoms and distances in Å follow each position.
Fractional positions:
Ti: 0.7500 0.3497 0.3497  5 Pd 2.51-2.77
Ti: 0.7500 0.0000 0.6503  5 Pd 2.51-2.77
Ti: 0.7500 0.6502 0.0000  5 Pd 2.51-2.77
Ti: 0.2500 0.6503 0.6503  5 Pd 2.51-2.77
Ti: 0.2500 0.0000 0.3497  5 Pd 2.51-2.77
Ti: 0.2500 0.3498 0.0000  5 Pd 2.51-2.77
Cd: 0.0000 0.0000 0.0000  2 Cd 2.76, 6 Pd 2.90, 6 Ti 3.05
Cd: 0.5000 0.0000 0.0000  2 Cd 2.76, 6 Pd 2.90, 6 Ti 3.05
Pd: 0.0000 0.6667 0.3334  8 Pd 2.76-2.96, 6 Ti 2.89
Pd: 0.5000 0.3333 0.6666  8 Pd 2.76-2.96, 6 Ti 2.89
Pd: 0.0000 0.3333 0.6666  8 Pd 2.76-2.96, 6 Ti 2.89
Pd: 0.5000 0.6667 0.3334  8 Pd 2.76-2.96, 6 Ti 2.89
Pd: 0.7500 0.6721 0.6721  5 Ti 2.51-2.77
Pd: 0.7500 0.0000 0.3279  5 Ti 2.51-2.77
Pd: 0.7500 0.3279 0.0000  5 Ti 2.51-2.77
Pd: 0.2500 0.3279 0.3279  5 Ti 2.51-2.77
Pd: 0.2500 0.0000 0.6721  5 Ti 2.51-2.77
Pd: 0.2500 0.6721 0.0000  5 Ti 2.51-2.77

# 3
DFT (PBE) results for crystalline Ti5Cd2Pd12 at its relaxed geometry.

**Crystal system**: monoclinic
**Space-group type**: No. 12
**Volume**: 17.61 Å³ per atom

a b c (Å): 5.4138 7.9961 8.6616
angles (deg): 107.34 90.00 109.79
Closest atoms and distances in Å follow each position.
Fractional positions:
Ti: 0.3164 0.6329 0.6447  7 Pd 2.58-2.66
Ti: 0.3561 0.7122 0.1457  7 Pd 2.44-2.66
Ti: 0.0000 0.0000 0.5000  6 Pd 2.64-2.69
Ti: 0.6439 0.2878 0.8543  7 Pd 2.44-2.66
Ti: 0.6836 0.3671 0.3553  7 Pd 2.58-2.66
Cd: 0.7499 0.0000 0.0000  2 Cd 2.71, 4 Pd 2.81-2.93
Cd: 0.2501 0.0000 0.0000  2 Cd 2.71, 4 Pd 2.81-2.93
Pd: 0.1068 0.2136 0.3025  3 Ti 2.69-2.92, 4 Pd 2.80-2.81, 2 Cd 2.93
Pd: 0.0474 0.6058 0.8915  3 Ti 2.51-2.66, 4 Pd 2.65-2.80
Pd: 0.5584 0.6058 0.8915  3 Ti 2.51-2.66, 4 Pd 2.65-2.80
Pd: 0.0919 0.6834 0.3973  4 Ti 2.63-2.66, 5 Pd 2.70-2.91
Pd: 0.5915 0.6834 0.3973  4 Ti 2.63-2.66, 5 Pd 2.70-2.91
Pd: 0.4888 0.9777 0.6507  2 Ti 2.44-2.58
Pd: 0.5112 0.0223 0.3493  2 Ti 2.44-2.58
Pd: 0.9081 0.3166 0.6027  4 Ti 2.63-2.66, 5 Pd 2.70-2.91
Pd: 0.4085 0.3166 0.6027  4 Ti 2.63-2.66, 5 Pd 2.70-2.91
Pd: 0.9526 0.3942 0.1085  3 Ti 2.51-2.66, 4 Pd 2.65-2.80
Pd: 0.4416 0.3942 0.1085  3 Ti 2.51-2.66, 4 Pd 2.65-2.80
Pd: 0.8932 0.7864 0.6975  3 Ti 2.69-2.92, 4 Pd 2.80-2.81, 2 Cd 2.93

# 4
DFT (PBE) results for crystalline TiCd3Pd at its relaxed geometry.

**Crystal system**: cubic
**Space-group type**: No. 221
**Volume**: 29.19 Å³ per atom
**Energy above the lowest structure with this stoichiometry**: 0.466 eV/atom

a b c (Å): 5.2647 5.2647 5.2647
angles (deg): 90.00 90.00 90.00
Closest atoms and distances in Å follow each position.
Fractional positions:
Ti: 0.0000 0.0000 0.0000  6 Cd 2.63
Pd: 0.5000 0.5000 0.5000  12 Cd 3.72
Cd: 0.0000 0.5000 0.0000  2 Ti 2.63
Cd: 0.0000 0.0000 0.5000  2 Ti 2.63
Cd: 0.5000 0.0000 0.0000  2 Ti 2.63

# 5
DFT (PBE) results for crystalline TiCdPd at its relaxed geometry.

**Crystal system**: trigonal
**Space-group type**: No. 166
**Volume**: 19.11 Å³ per atom

a b c (Å): 4.5709 4.5709 6.8637
angles (deg): 70.55 70.55 60.00
Closest atoms and distances in Å follow each position.
Fractional positions:
Ti: 0.7146 0.7146 0.8562  4 Pd 2.45-2.71
Ti: 0.2854 0.2854 0.1438  4 Pd 2.45-2.71
Cd: 0.8746 0.8746 0.3761  3 Pd 2.77, 4 Ti 3.02-3.04, 3 Cd 3.07
Cd: 0.1254 0.1254 0.6239  3 Pd 2.77, 4 Ti 3.02-3.04, 3 Cd 3.07
Pd: 0.5858 0.5858 0.2427  4 Ti 2.45-2.71
Pd: 0.4142 0.4142 0.7573  4 Ti 2.45-2.71

# 6
DFT (PBE) results for crystalline TiCd2Pd2 at its relaxed geometry.

**Crystal system**: tetragonal
**Space-group type**: No. 127
**Volume**: 18.54 Å³ per atom
**Energy above the lowest structure with this stoichiometry**: 0.164 eV/atom

a b c (Å): 6.6712 6.6712 4.1648
angles (deg): 90.00 90.00 90.00
Closest atoms and distances in Å follow each position.
Fractional positions:
Ti: 0.0000 0.0000 0.0000  4 Pd 2.57
Ti: 0.5000 0.5000 0.0000  4 Pd 2.57
Pd: 0.3582 0.8582 0.0000  2 Ti 2.57, 1 Pd 2.67, 2 Cd 2.77
Pd: 0.8582 0.6418 0.0000  2 Ti 2.57, 1 Pd 2.67, 2 Cd 2.77
Pd: 0.6418 0.1417 0.0000  2 Ti 2.57, 1 Pd 2.67, 2 Cd 2.77
Pd: 0.1417 0.3582 0.0000  2 Ti 2.57, 1 Pd 2.67, 2 Cd 2.77
Cd: 0.1643 0.6643 0.5000  6 Pd 2.77-2.92, 1 Cd 3.10
Cd: 0.6643 0.8357 0.5000  6 Pd 2.77-2.92, 1 Cd 3.10
Cd: 0.8357 0.3357 0.5000  6 Pd 2.77-2.92, 1 Cd 3.10
Cd: 0.3357 0.1643 0.5000  6 Pd 2.77-2.92, 1 Cd 3.10

# 7
DFT (PBE) results for crystalline Ti2CdPd2 at its relaxed geometry.

**Crystal system**: orthorhombic
**Space-group type**: No. 71
**Volume**: 16.90 Å³ per atom

a b c (Å): 3.3714 6.6717 9.1819
angles (deg): 122.99 100.58 90.00
Closest atoms and distances in Å follow each position.
Fractional positions:
Ti: 0.3820 0.3230 0.7641  5 Pd 2.64-2.80
Ti: 0.6180 0.1770 0.2359  5 Pd 2.64-2.80
Ti: 0.6180 0.6770 0.2359  5 Pd 2.64-2.80
Ti: 0.3820 0.8230 0.7641  5 Pd 2.64-2.80
Cd: 0.0000 0.7500 0.0000  2 Pd 2.94, 8 Ti 2.96
Cd: 0.0000 0.2500 0.0000  2 Pd 2.94, 8 Ti 2.96
Pd: 0.1956 0.0434 0.3912  5 Ti 2.64-2.80, 4 Pd 2.88, 1 Cd 2.94
Pd: 0.1956 0.5434 0.3912  5 Ti 2.64-2.80, 4 Pd 2.88, 1 Cd 2.94
Pd: 0.8044 0.9566 0.6088  5 Ti 2.64-2.80, 4 Pd 2.88, 1 Cd 2.94
Pd: 0.8044 0.4566 0.6088  5 Ti 2.64-2.80, 4 Pd 2.88, 1 Cd 2.94

# 8
DFT (PBE) results for crystalline Ti2CdPd8 at its relaxed geometry.

**Crystal system**: monoclinic
**Space-group type**: No. 12
**Volume**: 15.80 Å³ per atom

a b c (Å): 3.9689 6.4424 7.3680
angles (deg): 106.04 105.62 90.00
Closest atoms and distances in Å follow each position.
Fractional positions:
Ti: 0.7795 0.3339 0.5590  10 Pd 2.62-2.88
Ti: 0.2205 0.6661 0.4410  10 Pd 2.62-2.88
Cd: 0.5000 0.0000 0.0000  12 Pd 2.78-2.95
Pd: 0.3982 0.5342 0.7965  3 Ti 2.68-2.88, 7 Pd 2.78-2.88, 1 Cd 2.93
Pd: 0.6810 0.9148 0.3619  3 Ti 2.66-2.71, 8 Pd 2.75-2.88, 1 Cd 2.78
Pd: 0.8495 0.7867 0.6991  3 Ti 2.66-2.80, 6 Pd 2.75-2.92, 2 Cd 2.95
Pd: 0.9552 0.2781 0.9104  1 Ti 2.62, 8 Pd 2.78-2.92, 2 Cd 2.86
Pd: 0.1505 0.2133 0.3009  3 Ti 2.66-2.80, 6 Pd 2.75-2.92, 2 Cd 2.95
Pd: 0.3190 0.0852 0.6381  3 Ti 2.66-2.71, 8 Pd 2.75-2.88, 1 Cd 2.78
Pd: 0.6018 0.4658 0.2035  3 Ti 2.68-2.88, 7 Pd 2.78-2.88, 1 Cd 2.93
Pd: 0.0448 0.7219 0.0896  1 Ti 2.62, 8 Pd 2.78-2.92, 2 Cd 2.86

# 9
DFT (PBE) results for crystalline Ti2CdPd at its relaxed geometry.

**Crystal system**: trigonal
**Space-group type**: No. 166
**Volume**: 18.33 Å³ per atom

a b c (Å): 2.8571 2.8571 10.5033
angles (deg): 82.18 82.18 60.00
Closest atoms and distances in Å follow each position.
Fractional positions:
Ti: 0.0952 0.0952 0.7145  3 Pd 2.77, 6 Ti 2.86, 1 Cd 2.96
Ti: 0.9048 0.9048 0.2855  3 Pd 2.77, 6 Ti 2.86, 1 Cd 2.96
Pd: 0.5000 0.5000 0.5000  6 Ti 2.77, 6 Pd 2.86
Cd: 0.0000 0.0000 0.0000  6 Cd 2.86, 2 Ti 2.96

# 10
DFT (PBE) results for crystalline Ti2CdPd at its relaxed geometry.

**Crystal system**: tetragonal
**Space-group type**: No. 122
**Volume**: 18.68 Å³ per atom

a b c (Å): 7.4417 7.4417 5.9134
angles (deg): 51.01 51.01 90.00
Closest atoms and distances in Å follow each position.
Fractional positions:
Ti: 0.5881 0.1250 0.2500  2 Pd 2.54, 2 Ti 2.75
Ti: 0.1619 0.6250 0.2500  2 Pd 2.54, 2 Ti 2.75
Ti: 0.3750 0.4119 0.7500  2 Pd 2.54, 2 Ti 2.75
Ti: 0.8750 0.8381 0.7500  2 Pd 2.54, 2 Ti 2.75
Pd: 0.5000 0.5000 0.0000  4 Ti 2.54, 2 Cd 2.70
Pd: 0.2500 0.7500 0.5000  4 Ti 2.54, 2 Cd 2.70
Cd: 0.0000 0.0000 0.0000  2 Pd 2.70, 4 Ti 2.91
Cd: 0.7500 0.2500 0.5000  2 Pd 2.70, 4 Ti 2.91

# 11
DFT (PBE) results for crystalline Ti2Cd2Pd at its relaxed geometry.

**Crystal system**: tetragonal
**Space-group type**: No. 127
**Volume**: 19.34 Å³ per atom
**Energy above the lowest structure with this stoichiometry**: 0.120 eV/atom

a b c (Å): 7.9821 7.9821 3.0353
angles (deg): 90.00 90.00 90.00
Closest atoms and distances in Å follow each position.
Fractional positions:
Ti: 0.3898 0.8898 0.0000  1 Ti 2.49, 2 Cd 2.76
Ti: 0.8898 0.6102 0.0000  1 Ti 2.49, 2 Cd 2.76
Ti: 0.6102 0.1102 0.0000  1 Ti 2.49, 2 Cd 2.76
Ti: 0.1102 0.3898 0.0000  1 Ti 2.49, 2 Cd 2.76
Pd: 0.0000 0.0000 0.0000  2 Pd 3.04, 4 Ti 3.23, 8 Cd 3.29
Pd: 0.5000 0.5000 0.0000  2 Pd 3.04, 4 Ti 3.23, 8 Cd 3.29
Cd: 0.1852 0.6852 0.5000  6 Ti 2.76-2.87, 2 Cd 3.04
Cd: 0.6852 0.8148 0.5000  6 Ti 2.76-2.87, 2 Cd 3.04
Cd: 0.8148 0.3148 0.5000  6 Ti 2.76-2.87, 2 Cd 3.04
Cd: 0.3148 0.1852 0.5000  6 Ti 2.76-2.87, 2 Cd 3.04

Results for energy of formation from the pure elements: -317.4, -494.4, -322.8, 1020.8, -198.3, -246.4, -415.4, -488.7, 92.5, 98.4, 264.2 (in meV per atom, following the order of the records).
Results for electronic total energy: -43.74, -110.03, -109.75, -10.73, -29.20, -42.69, -58.34, -63.62, -21.53, -43.01, -42.98 (in eV for the cell shown, following the order of the records).
Results for magnetization: 0.00, 0.00, 0.00, 2.06, 0.00, 0.00, 0.00, 0.00, 0.00, 0.00, 3.98 (in Bohr magnetons per cell, following the order of the records).